Entry 1:
The following is a DFT calculation (GGA-PBE) of an optimized crystal structure of MnP2Os.

Output
Total energy: -7.795 eV/atom
Formation energy: 0.009 eV/atom
Energy above the most stable polymorph in this dataset: 304.3 meV per atom

Cell lengths 7.355, 7.355, 7.355 Å; angles 23.14, 23.14, 23.14 degrees
Sites, in units of the cell vectors:
Mn (0.000, 0.000, 0.000)
P (0.491, 0.491, 0.491)
P (0.736, 0.736, 0.736)
Os (0.233, 0.233, 0.233)

***

Entry 2:
The following is a DFT calculation (GGA-PBE) of an optimized crystal structure of Mn2POs.

Output
Total energy: -8.803 eV/atom
Formation energy: -0.058 eV/atom

Cell lengths 2.939, 4.044, 4.091 Å; angles 90.00, 90.00, 90.00 degrees
Sites, in units of the cell vectors:
Mn (0.000, 0.000, 0.000)
Mn (0.500, 0.500, 0.000)
P (0.000, 0.500, 0.500)
Os (0.500, 0.000, 0.500)

***

Entry 3:
The following is a DFT calculation (GGA-PBE) of an optimized crystal structure of Mn2POs.

Output
Total energy: -8.806 eV/atom
Formation energy: -0.061 eV/atom

Cell lengths 2.788, 2.788, 6.041 Å; angles 90.00, 90.00, 90.00 degrees
Sites, in units of the cell vectors:
Mn (0.000, 0.000, 0.000)
Mn (0.500, 0.500, 0.269)
P (0.500, 0.500, 0.809)
Os (0.000, 0.000, 0.539)

***

Entry 4:
The following is a DFT calculation (GGA-PBE) of an optimized crystal structure of MnP2Os.

Output
Total energy: -7.519 eV/atom
Formation energy: 0.286 eV/atom
Energy above the most stable polymorph in this dataset: 581.2 meV per atom

Cell lengths 2.903, 2.903, 7.484 Å; angles 90.00, 90.00, 121.86 degrees
Sites, in units of the cell vectors:
Mn (0.000, 0.000, 0.000)
P (0.500, 0.500, 0.239)
P (0.500, 0.500, 0.761)
Os (0.000, 0.000, 0.500)

***

Entry 5:
The following is a DFT calculation (GGA-PBE) of an optimized crystal structure of Mn2POs.

Output
Total energy: -8.820 eV/atom
Formation energy: -0.076 eV/atom

Cell lengths 4.086, 4.086, 4.086 Å; angles 60.00, 60.00, 60.00 degrees
Sites, in units of the cell vectors:
Mn (0.000, 0.000, 0.000)
Mn (0.250, 0.250, 0.250)
P (0.500, 0.500, 0.500)
Os (0.750, 0.750, 0.750)

***

Entry 6:
The following is a DFT calculation (GGA-PBE) of an optimized crystal structure of MnP2Os.

Output
Total energy: -7.507 eV/atom
Formation energy: 0.298 eV/atom
Energy above the most stable polymorph in this dataset: 593.3 meV per atom

Cell lengths 3.010, 3.730, 4.842 Å; angles 90.00, 90.00, 90.00 degrees
Sites, in units of the cell vectors:
Mn (0.000, 0.000, 0.000)
P (0.000, 0.500, 0.500)
P (0.500, 0.500, 0.000)
Os (0.500, 0.000, 0.500)

***

Entry 7:
The following is a DFT calculation (GGA-PBE) of an optimized crystal structure of MnP2Os.

Output
Total energy: -7.855 eV/atom
Formation energy: -0.050 eV/atom
Energy above the most stable polymorph in this dataset: 245.0 meV per atom

Cell lengths 7.346, 7.346, 7.346 Å; angles 22.16, 22.16, 22.16 degrees
Sites, in units of the cell vectors:
Mn (0.000, 0.000, 0.000)
P (0.255, 0.255, 0.255)
P (0.745, 0.745, 0.745)
Os (0.500, 0.500, 0.500)

***

Entry 8:
The following is a DFT calculation (GGA-PBE) of an optimized crystal structure of MnP2Os.

Output
Total energy: -7.552 eV/atom
Formation energy: 0.252 eV/atom
Energy above the most stable polymorph in this dataset: 547.4 meV per atom

Cell lengths 4.662, 4.662, 4.662 Å; angles 133.43, 133.43, 67.98 degrees
Sites, in units of the cell vectors:
Mn (0.000, 0.000, 0.000)
P (0.500, 0.500, 0.000)
P (0.750, 0.250, 0.500)
Os (0.250, 0.750, 0.500)

***

Entry 9:
The following is a DFT calculation (GGA-PBE) of an optimized crystal structure of Mn2POs.

Output
Total energy: -8.716 eV/atom
Formation energy: 0.029 eV/atom

Cell lengths 2.901, 3.458, 5.115 Å; angles 90.00, 90.00, 90.00 degrees
Sites, in units of the cell vectors:
Mn (0.000, 0.000, 0.000)
Mn (0.500, 0.500, 0.186)
P (0.500, 0.500, 0.713)
Os (0.000, 0.000, 0.509)

***

Entry 10:
The following is a DFT calculation (GGA-PBE) of an optimized crystal structure of MnP4Os.

Output
Total energy: -6.120 eV/atom
Formation energy: 0.886 eV/atom

Cell lengths 4.902, 4.902, 4.902 Å; angles 60.00, 60.00, 60.00 degrees
Sites, in units of the cell vectors:
Mn (0.000, 0.000, 0.000)
P (0.123, 0.626, 0.626)
P (0.626, 0.123, 0.626)
P (0.626, 0.626, 0.123)
P (0.626, 0.626, 0.626)
Os (0.250, 0.250, 0.250)

***

Entry 11:
The following is a DFT calculation (GGA-PBE) of an optimized crystal structure of MnP2Os.

Output
Total energy: -7.748 eV/atom
Formation energy: 0.057 eV/atom
Energy above the most stable polymorph in this dataset: 352.3 meV per atom

Cell lengths 3.195, 3.867, 4.774 Å; angles 90.00, 90.00, 90.00 degrees
Sites, in units of the cell vectors:
Mn (0.000, 0.000, 0.000)
P (0.500, 0.500, 0.224)
P (0.500, 0.500, 0.776)
Os (0.500, 0.000, 0.500)

***

Entry 12:
The following is a DFT calculation (GGA-PBE) of an optimized crystal structure of MnP2Os.

Output
Total energy: -7.897 eV/atom
Formation energy: -0.092 eV/atom
Energy above the most stable polymorph in this dataset: 203.1 meV per atom

Cell lengths 3.919, 3.919, 4.855 Å; angles 101.32, 101.32, 42.39 degrees
Sites, in units of the cell vectors:
Mn (0.000, 0.000, 0.000)
P (0.253, 0.253, 0.771)
P (0.747, 0.747, 0.229)
Os (0.500, 0.500, 0.500)

***

Entry 13:
The following is a DFT calculation (GGA-PBE) of an optimized crystal structure of MnP2Os.

Output
Total energy: -7.511 eV/atom
Formation energy: 0.293 eV/atom
Energy above the most stable polymorph in this dataset: 588.4 meV per atom

Cell lengths 4.695, 4.695, 4.695 Å; angles 144.47, 116.74, 74.71 degrees
Sites, in units of the cell vectors:
Mn (0.000, 0.000, 0.000)
P (0.239, 0.739, 0.500)
P (0.761, 0.261, 0.500)
Os (0.500, 0.500, 0.000)

***

Entry 14:
The following is a DFT calculation (GGA-PBE) of an optimized crystal structure of MnP2Os.

Output
Total energy: -7.504 eV/atom
Formation energy: 0.301 eV/atom
Energy above the most stable polymorph in this dataset: 596.3 meV per atom

Cell lengths 2.729, 2.729, 9.223 Å; angles 90.00, 90.00, 114.64 degrees
Sites, in units of the cell vectors:
Mn (0.000, 0.000, 0.000)
P (0.000, 0.000, 0.442)
P (0.500, 0.500, 0.810)
Os (0.500, 0.500, 0.241)

***

Entry 15:
The following is a DFT calculation (GGA-PBE) of an optimized crystal structure of MnP2Os.

Output
Total energy: -7.922 eV/atom
Formation energy: -0.117 eV/atom
Energy above the most stable polymorph in this dataset: 178.2 meV per atom

Cell lengths 4.076, 4.076, 4.076 Å; angles 60.00, 60.00, 60.00 degrees
Sites, in units of the cell vectors:
Mn (0.000, 0.000, 0.000)
P (0.250, 0.250, 0.250)
P (0.750, 0.750, 0.750)
Os (0.500, 0.500, 0.500)

***

Entry 16:
The following is a DFT calculation (GGA-PBE) of an optimized crystal structure of MnP2Os.

Output
Total energy: -7.915 eV/atom
Formation energy: -0.110 eV/atom
Energy above the most stable polymorph in this dataset: 184.6 meV per atom

Cell lengths 2.880, 2.880, 5.733 Å; angles 90.00, 90.00, 90.00 degrees
Sites, in units of the cell vectors:
Mn (0.000, 0.000, 0.000)
P (0.500, 0.500, 0.234)
P (0.500, 0.500, 0.766)
Os (0.000, 0.000, 0.500)

***

Entry 17:
The following is a DFT calculation (GGA-PBE) of an optimized crystal structure of MnP2Os.

Output
Total energy: -8.100 eV/atom
Formation energy: -0.295 eV/atom
Energy above the most stable polymorph in this dataset: 0.0 meV per atom

Cell lengths 4.117, 4.117, 4.764 Å; angles 103.58, 103.58, 41.86 degrees
Sites, in units of the cell vectors:
Mn (0.000, 0.000, 0.000)
P (0.477, 0.477, 0.372)
P (0.712, 0.712, 0.962)
Os (0.223, 0.223, 0.577)

***

Entry 18:
The following is a DFT calculation (GGA-PBE) of an optimized crystal structure of Mn2POs.

Output
Total energy: -8.760 eV/atom
Formation energy: -0.015 eV/atom

Cell lengths 3.591, 3.591, 3.859 Å; angles 90.00, 90.00, 90.00 degrees
Sites, in units of the cell vectors:
Mn (0.000, 0.500, 0.000)
Mn (0.500, 0.000, 0.000)
P (0.000, 0.000, 0.500)
Os (0.500, 0.500, 0.500)

***

Entry 19:
The following is a DFT calculation (GGA-PBE) of an optimized crystal structure of Mn21P6Os2.

Output
Total energy: -8.785 eV/atom
Formation energy: -0.251 eV/atom

Cell lengths 7.783, 7.783, 7.783 Å; angles 60.00, 60.00, 60.00 degrees
Sites, in units of the cell vectors:
Mn (0.000, 0.000, 0.000)
Mn (0.000, 0.000, 0.349)
Mn (0.000, 0.000, 0.651)
Mn (0.000, 0.349, 0.000)
Mn (0.000, 0.349, 0.651)
Mn (0.000, 0.651, 0.000)
Mn (0.000, 0.651, 0.349)
Mn (0.124, 0.625, 0.625)
Mn (0.349, 0.000, 0.000)
Mn (0.349, 0.000, 0.651)
Mn (0.349, 0.651, 0.000)
Mn (0.375, 0.375, 0.375)
Mn (0.375, 0.375, 0.876)
Mn (0.375, 0.876, 0.375)
Mn (0.625, 0.124, 0.625)
Mn (0.625, 0.625, 0.124)
Mn (0.625, 0.625, 0.625)
Mn (0.651, 0.000, 0.000)
Mn (0.651, 0.000, 0.349)
Mn (0.651, 0.349, 0.000)
Mn (0.876, 0.375, 0.375)
P (0.276, 0.276, 0.724)
P (0.276, 0.724, 0.276)
P (0.276, 0.724, 0.724)
P (0.724, 0.276, 0.276)
P (0.724, 0.276, 0.724)
P (0.724, 0.724, 0.276)
Os (0.250, 0.250, 0.250)
Os (0.750, 0.750, 0.750)

***

Entry 20:
The following is a DFT calculation (GGA-PBE) of an optimized crystal structure of MnP2Os.

Output
Total energy: -7.306 eV/atom
Formation energy: 0.498 eV/atom
Energy above the most stable polymorph in this dataset: 793.3 meV per atom

Cell lengths 4.226, 4.226, 4.226 Å; angles 60.00, 60.00, 60.00 degrees
Sites, in units of the cell vectors:
Mn (0.000, 0.000, 0.000)
P (0.250, 0.250, 0.250)
P (0.500, 0.500, 0.500)
Os (0.750, 0.750, 0.750)

***

Entry 21:
The following is a DFT calculation (GGA-PBE) of an optimized crystal structure of Mn2POs.

Output
Total energy: -8.943 eV/atom
Formation energy: -0.198 eV/atom

Cell lengths 2.714, 2.714, 6.275 Å; angles 90.00, 90.00, 90.00 degrees
Sites, in units of the cell vectors:
Mn (0.000, 0.000, 0.214)
Mn (0.000, 0.000, 0.786)
P (0.500, 0.500, 0.000)
Os (0.500, 0.500, 0.500)

***

Entry 22:
The following is a DFT calculation (GGA-PBE) of an optimized crystal structure of Mn2POs.

Output
Total energy: -8.656 eV/atom
Formation energy: 0.088 eV/atom

Cell lengths 7.889, 7.889, 7.889 Å; angles 20.02, 20.02, 20.02 degrees
Sites, in units of the cell vectors:
Mn (0.000, 0.000, 0.000)
Mn (0.250, 0.250, 0.250)
P (0.743, 0.743, 0.743)
Os (0.492, 0.492, 0.492)

***

Entry 23:
The following is a DFT calculation (GGA-PBE) of an optimized crystal structure of Mn2POs.

Output
Total energy: -8.849 eV/atom
Formation energy: -0.104 eV/atom

Cell lengths 4.817, 4.817, 4.131 Å; angles 115.01, 115.01, 33.63 degrees
Sites, in units of the cell vectors:
Mn (0.000, 0.000, 0.000)
Mn (0.216, 0.216, 0.706)
P (0.508, 0.508, 0.565)
Os (0.779, 0.779, 0.269)

***

Entry 24:
The following is a DFT calculation (GGA-PBE) of an optimized crystal structure of Mn2POs.

Output
Total energy: -8.793 eV/atom
Formation energy: -0.049 eV/atom

Cell lengths 7.949, 7.949, 7.949 Å; angles 19.25, 19.25, 19.25 degrees
Sites, in units of the cell vectors:
Mn (0.243, 0.243, 0.243)
Mn (0.757, 0.757, 0.757)
P (0.500, 0.500, 0.500)
Os (0.000, 0.000, 0.000)

***

Entry 25:
The following is a DFT calculation (GGA-PBE) of an optimized crystal structure of MnP2Os.

Output
Total energy: -7.960 eV/atom
Formation energy: -0.155 eV/atom
Energy above the most stable polymorph in this dataset: 139.8 meV per atom

Cell lengths 2.811, 3.536, 5.017 Å; angles 90.00, 90.00, 90.00 degrees
Sites, in units of the cell vectors:
Mn (0.000, 0.000, 0.000)
P (0.000, 0.000, 0.541)
P (0.500, 0.500, 0.872)
Os (0.500, 0.500, 0.372)

***

Entry 26:
The following is a DFT calculation (GGA-PBE) of an optimized crystal structure of MnP2Os.

Output
Total energy: -7.998 eV/atom
Formation energy: -0.194 eV/atom
Energy above the most stable polymorph in this dataset: 101.5 meV per atom

Cell lengths 5.714, 5.714, 5.714 Å; angles 149.73, 146.22, 45.99 degrees
Sites, in units of the cell vectors:
Mn (0.000, 0.000, 0.000)
P (0.579, 0.579, 0.000)
P (0.838, 0.338, 0.500)
Os (0.246, 0.746, 0.500)

***

Entry 27:
The following is a DFT calculation (GGA-PBE) of an optimized crystal structure of MnP2Os.

Output
Total energy: -7.820 eV/atom
Formation energy: -0.015 eV/atom
Energy above the most stable polymorph in this dataset: 279.8 meV per atom

Cell lengths 7.523, 7.523, 7.523 Å; angles 148.01, 148.01, 45.87 degrees
Sites, in units of the cell vectors:
Mn (0.000, 0.000, 0.000)
Mn (0.750, 0.250, 0.500)
P (0.102, 0.625, 0.977)
P (0.375, 0.352, 0.477)
P (0.648, 0.125, 0.023)
P (0.875, 0.898, 0.523)
Os (0.250, 0.750, 0.500)
Os (0.500, 0.500, 0.000)

***

Entry 28:
The following is a DFT calculation (GGA-PBE) of an optimized crystal structure of MnP2Os.

Output
Total energy: -7.802 eV/atom
Formation energy: 0.002 eV/atom
Energy above the most stable polymorph in this dataset: 297.4 meV per atom

Cell lengths 2.789, 2.789, 7.441 Å; angles 90.00, 90.00, 90.00 degrees
Sites, in units of the cell vectors:
Mn (0.000, 0.000, 0.000)
P (0.000, 0.000, 0.441)
P (0.500, 0.500, 0.831)
Os (0.500, 0.500, 0.243)

***

Entry 29:
The following is a DFT calculation (GGA-PBE) of an optimized crystal structure of MnPOs3.

Output
Total energy: -7.715 eV/atom
Formation energy: 1.939 eV/atom
Energy above the most stable polymorph in this dataset: 1073.1 meV per atom

Cell lengths 4.415, 4.415, 4.415 Å; angles 90.00, 90.00, 90.00 degrees
Sites, in units of the cell vectors:
Mn (0.000, 0.000, 0.000)
P (0.500, 0.500, 0.500)
Os (0.000, 0.000, 0.500)
Os (0.000, 0.500, 0.000)
Os (0.500, 0.000, 0.000)